Density functional theory data (GGA-PBE) for a geometry-optimized RbIn2Br structure.

Geometry as POSCAR:
```
RbIn2Br
1.0
-0.470 4.357 -1.387
-4.369 -0.840 -1.157
-6.680 5.545 12.068
In Rb Br
4 2 2
Direct
0.612 0.125 0.250
0.138 0.625 0.250
0.375 0.388 0.750
0.875 0.862 0.750
0.000 0.000 0.000
0.750 0.250 0.500
0.500 0.500 0.000
0.250 0.750 0.500
```

## Properties
- E_form (uncorrected): -2.1 eV/f.u.
- DOS(E_F): 1.95 states/eV/f.u.
- Space group: I-42d (122)
- Excess energy over the best structure of this formula in the dataset: 0.0 kJ per mole of atoms